Compound: LaCu2Se
Source: Alexandria via LeMat-Bulk
Functional: GGA-PBE
Structure: optimized geometry

## Properties
Volume in Å³ per atom: 22.77
Density of states at the Fermi level in states/eV per cell: 5.981
DFT total energy in eV per atom: -4.587
E_form (uncorrected) in meV per atom: -435
Theoretical density in Mg/m³: 6.3

abc: 10.2203 4.7416 3.7596
angles: 90.00 90.21 90.00
Space group C2/m (No. 12)
Symmetry-distinct sites (fractional):
La 0.0000 0.0000 0.0000 [2 per cell]
Cu 0.2348 0.5000 0.4994 [4 per cell]
Se 0.0000 0.5000 0.5000 [2 per cell]